Entry 1:
First-principles (GGA-PBE) data for an optimized crystal structure of SrBe2Hg, as listed in OQMD via LeMat-Bulk.

The volume is 81 Å³/f.u. The final energy comes out at -29.499 eV for the cell shown.

The space group is F-43m (No. 216) and the conventional cell measures 6.8823, 6.8823 and 6.8823 Å, with angles of 90.00, 90.00 and 90.00 degrees. The asymmetric unit holds Sr at (0.0000, 0.0000, 0.0000), Be at (0.0000, 0.0000, 0.5000), Be at (0.2500, 0.2500, 0.7500) and Hg at (0.2500, 0.2500, 0.2500).

Entry 2:
First-principles (GGA-PBE) data for an optimized crystal structure of TaBeHg, as listed in OQMD via LeMat-Bulk.

Its distance to the lowest polymorph of the same formula is 0.00 eV per formula unit. The volume is 50 Å³/f.u.

The space group is F-43m (No. 216) and the conventional cell measures 5.8657, 5.8657 and 5.8657 Å, with angles of 90.00, 90.00 and 90.00 degrees. The asymmetric unit holds Ta at (0.0000, 0.0000, 0.0000), Be at (0.2500, 0.2500, 0.7500) and Hg at (0.0000, 0.0000, 0.5000).

Entry 3:
First-principles (GGA-PBE) data for an optimized crystal structure of TaBeHg2, as listed in OQMD via LeMat-Bulk.

The volume is 72 Å³/f.u. The final energy comes out at -51.420 eV for the cell shown.

The space group is F-43m (No. 216) and the conventional cell measures 6.5981, 6.5981 and 6.5981 Å, with angles of 90.00, 90.00 and 90.00 degrees. The asymmetric unit holds Ta at (0.0000, 0.0000, 0.0000), Be at (0.2500, 0.2500, 0.7500), Hg at (0.0000, 0.0000, 0.5000) and Hg at (0.2500, 0.2500, 0.2500).

Entry 4:
First-principles (GGA-PBE) data for an optimized crystal structure of TaBeHg, as listed in OQMD via LeMat-Bulk.

Its distance to the lowest polymorph of the same formula is 1.53 eV per formula unit. The volume is 60 Å³/f.u.

The space group is F-43m (No. 216) and the conventional cell measures 6.2047, 6.2047 and 6.2047 Å, with angles of 90.00, 90.00 and 90.00 degrees. The asymmetric unit holds Ta at (0.0000, 0.0000, 0.0000), Be at (0.2500, 0.2500, 0.7500) and Hg at (0.2500, 0.2500, 0.2500).